# 1
This record from Alexandria describes an optimized crystal structure of GaHN2. The functional is PBE. Values from VASP.

Cell and atoms, written as Quantum ESPRESSO input:
```
&SYSTEM
  ibrav = 0, nat = 8, ntyp = 3
/
ATOMIC_SPECIES
N 14.01 N.upf
Ga 69.72 Ga.upf
H 1.01 H.upf
CELL_PARAMETERS angstrom
3.711 0.000 0.000
0.000 3.711 0.000
1.855 1.855 4.938
ATOMIC_POSITIONS crystal
N 0.375 0.451 0.750
Ga 0.750 0.250 0.500
H 0.250 0.750 0.500
Ga 0.000 0.000 0.000
H 0.500 0.500 0.000
N 0.875 0.799 0.750
N 0.549 0.125 0.250
N 0.201 0.625 0.250
```

Output
M_tot: 0.0 μB per cell
Energy relative to the lowest polymorph listed for this composition: 446 meV per atom

***

# 2
This record from Alexandria describes an optimized crystal structure of GaH2N. The functional is PBE. Values from VASP.

Cell and atoms, written as Quantum ESPRESSO input:
```
&SYSTEM
  ibrav = 0, nat = 4, ntyp = 3
/
ATOMIC_SPECIES
Ga 69.72 Ga.upf
N 14.01 N.upf
H 1.01 H.upf
CELL_PARAMETERS angstrom
-1.084 -2.639 0.454
1.148 -0.900 -2.493
3.871 -1.209 2.220
ATOMIC_POSITIONS crystal
Ga 0.000 0.000 0.638
N 0.500 0.500 0.759
H 0.000 0.000 0.298
H 0.500 0.500 0.982
```

Output
M_tot: 0.0 μB per cell
Energy relative to the lowest polymorph listed for this composition: 209 meV per atom

***

# 3
This record from Alexandria describes an optimized crystal structure of GaH3N. The functional is PBE. Values from VASP.

Cell and atoms, written as Quantum ESPRESSO input:
```
&SYSTEM
  ibrav = 0, nat = 5, ntyp = 3
/
ATOMIC_SPECIES
N 14.01 N.upf
H 1.01 H.upf
Ga 69.72 Ga.upf
CELL_PARAMETERS angstrom
3.603 0.000 0.000
0.000 3.603 0.000
0.000 0.000 3.603
ATOMIC_POSITIONS crystal
N 0.500 0.500 0.500
H 0.000 0.000 0.500
H 0.000 0.500 0.000
H 0.500 0.000 0.000
Ga 0.000 0.000 0.000
```

Output
M_tot: 3.0 μB per cell
Energy relative to the lowest polymorph listed for this composition: 256 meV per atom

***

# 4
This record from Alexandria describes an optimized crystal structure of GaHN. The functional is PBE. Values from VASP.

Cell and atoms, written as Quantum ESPRESSO input:
```
&SYSTEM
  ibrav = 0, nat = 12, ntyp = 3
/
ATOMIC_SPECIES
H 1.01 H.upf
Ga 69.72 Ga.upf
N 14.01 N.upf
CELL_PARAMETERS angstrom
5.327 0.000 0.000
0.000 4.843 -0.049
0.000 2.349 5.687
ATOMIC_POSITIONS crystal
H 0.355 0.620 0.479
H 0.645 0.380 0.521
Ga 0.928 0.811 0.422
N 0.727 0.922 0.130
Ga 0.072 0.189 0.578
H 0.145 0.120 0.979
N 0.273 0.078 0.870
N 0.773 0.422 0.630
H 0.855 0.880 0.021
Ga 0.572 0.311 0.922
Ga 0.428 0.689 0.078
N 0.227 0.578 0.370
```

Output
M_tot: 0.0 μB per cell
Energy relative to the lowest polymorph listed for this composition: 0 meV per atom

***

# 5
This record from Alexandria describes an optimized crystal structure of Ga2H6N. The functional is PBE. Values from VASP.

Cell and atoms, written as Quantum ESPRESSO input:
```
&SYSTEM
  ibrav = 0, nat = 9, ntyp = 3
/
ATOMIC_SPECIES
H 1.01 H.upf
N 14.01 N.upf
Ga 69.72 Ga.upf
CELL_PARAMETERS angstrom
2.081 1.275 3.685
3.323 -3.363 1.938
5.103 0.043 -0.246
ATOMIC_POSITIONS crystal
H 0.202 0.798 0.202
H 0.798 0.798 0.202
H 0.202 0.202 0.798
H 0.828 0.172 0.172
H 0.172 0.828 0.828
N 0.000 0.000 0.000
Ga 0.750 0.750 0.750
H 0.798 0.202 0.798
Ga 0.250 0.250 0.250
```

Output
M_tot: 0.0 μB per cell
Energy relative to the lowest polymorph listed for this composition: 870 meV per atom

***

# 6
This record from Alexandria describes an optimized crystal structure of GaH2N. The functional is PBE. Values from VASP.

Cell and atoms, written as Quantum ESPRESSO input:
```
&SYSTEM
  ibrav = 0, nat = 4, ntyp = 3
/
ATOMIC_SPECIES
N 14.01 N.upf
H 1.01 H.upf
Ga 69.72 Ga.upf
CELL_PARAMETERS angstrom
0.000 2.415 2.415
2.415 0.000 2.415
2.415 2.415 0.000
ATOMIC_POSITIONS crystal
N 0.000 0.000 0.000
H 0.750 0.750 0.750
Ga 0.500 0.500 0.500
H 0.250 0.250 0.250
```

Output
M_tot: 0.0 μB per cell
Energy relative to the lowest polymorph listed for this composition: 1608 meV per atom

***

# 7
This record from Alexandria describes an optimized crystal structure of GaH3N. The functional is PBE. Values from VASP.

Cell and atoms, written as Quantum ESPRESSO input:
```
&SYSTEM
  ibrav = 0, nat = 5, ntyp = 3
/
ATOMIC_SPECIES
N 14.01 N.upf
Ga 69.72 Ga.upf
H 1.01 H.upf
CELL_PARAMETERS angstrom
-1.500 2.661 -1.201
-2.612 -0.620 1.888
1.304 1.819 2.400
ATOMIC_POSITIONS crystal
N 0.000 0.000 0.000
Ga 0.500 0.500 0.500
H 0.000 0.000 0.500
H 0.500 0.000 0.000
H 0.000 0.500 0.000
```

Output
M_tot: 0.0 μB per cell
Energy relative to the lowest polymorph listed for this composition: 0 meV per atom

***

# 8
This record from Alexandria describes an optimized crystal structure of GaHN. The functional is PBE. Values from VASP.

Cell and atoms, written as Quantum ESPRESSO input:
```
&SYSTEM
  ibrav = 0, nat = 3, ntyp = 3
/
ATOMIC_SPECIES
H 1.01 H.upf
N 14.01 N.upf
Ga 69.72 Ga.upf
CELL_PARAMETERS angstrom
-2.019 2.165 0.170
0.067 -0.169 2.959
3.948 1.767 -1.474
ATOMIC_POSITIONS crystal
H 0.226 0.226 0.451
N 0.093 0.093 0.187
Ga 0.531 0.531 0.062
```

Output
M_tot: 0.0 μB per cell
Energy relative to the lowest polymorph listed for this composition: 553 meV per atom

***

# 9
This record from Alexandria describes an optimized crystal structure of GaH2N. The functional is PBE. Values from VASP.

Cell and atoms, written as Quantum ESPRESSO input:
```
&SYSTEM
  ibrav = 0, nat = 4, ntyp = 3
/
ATOMIC_SPECIES
N 14.01 N.upf
H 1.01 H.upf
Ga 69.72 Ga.upf
CELL_PARAMETERS angstrom
-2.723 0.923 -0.567
-1.513 -2.455 3.275
1.731 1.698 2.073
ATOMIC_POSITIONS crystal
N 0.557 0.500 0.318
H 0.789 0.500 0.676
H 0.196 0.500 0.299
Ga 0.570 0.000 0.196
```

Output
M_tot: 0.0 μB per cell
Energy relative to the lowest polymorph listed for this composition: 273 meV per atom

***

# 10
This record from Alexandria describes an optimized crystal structure of Ga3HN. The functional is PBE. Values from VASP.

Cell and atoms, written as Quantum ESPRESSO input:
```
&SYSTEM
  ibrav = 0, nat = 5, ntyp = 3
/
ATOMIC_SPECIES
Ga 69.72 Ga.upf
N 14.01 N.upf
H 1.01 H.upf
CELL_PARAMETERS angstrom
4.381 0.000 0.000
0.000 4.381 0.000
0.000 0.000 4.381
ATOMIC_POSITIONS crystal
Ga 0.000 0.000 0.500
Ga 0.500 0.000 0.000
N 0.000 0.000 0.000
Ga 0.000 0.500 0.000
H 0.500 0.500 0.500
```

Output
M_tot: 0.0 μB per cell
Energy relative to the lowest polymorph listed for this composition: 0 meV per atom

***

# 11
This record from Alexandria describes an optimized crystal structure of GaH2N. The functional is PBE. Values from VASP.

Cell and atoms, written as Quantum ESPRESSO input:
```
&SYSTEM
  ibrav = 0, nat = 8, ntyp = 3
/
ATOMIC_SPECIES
Ga 69.72 Ga.upf
H 1.01 H.upf
N 14.01 N.upf
CELL_PARAMETERS angstrom
-2.266 -0.535 -3.690
1.044 -4.236 -0.027
-3.325 -3.066 -0.093
ATOMIC_POSITIONS crystal
Ga 0.750 0.250 0.500
H 0.875 0.625 0.750
N 0.500 0.500 0.000
N 0.250 0.750 0.500
Ga 0.000 0.000 0.000
H 0.375 0.125 0.250
H 0.375 0.625 0.250
H 0.375 0.625 0.750
```

Output
M_tot: 0.0 μB per cell
Energy relative to the lowest polymorph listed for this composition: 759 meV per atom

***

# 12
This record from Alexandria describes an optimized crystal structure of GaHN2. The functional is PBE. Values from VASP.

Cell and atoms, written as Quantum ESPRESSO input:
```
&SYSTEM
  ibrav = 0, nat = 4, ntyp = 3
/
ATOMIC_SPECIES
N 14.01 N.upf
Ga 69.72 Ga.upf
H 1.01 H.upf
CELL_PARAMETERS angstrom
1.693 0.000 5.161
-0.846 1.466 5.161
-0.846 -1.466 5.161
ATOMIC_POSITIONS crystal
N 0.147 0.147 0.147
N 0.853 0.853 0.853
Ga 0.000 0.000 0.000
H 0.500 0.500 0.500
```

Output
M_tot: 0.0 μB per cell
Energy relative to the lowest polymorph listed for this composition: 1127 meV per atom

***

no.,E_tot (eV/cell)
1,-37.416
2,-18.376
3,-15.010
4,-62.214
5,-27.327
6,-12.778
7,-16.290
8,-13.893
9,-18.118
10,-16.439
11,-32.350
12,-15.988